No. 1
This record from Alexandria describes a relaxed Hf4NiRh3 crystal. The functional is GGA-PBE.

Calculated values
Final energy (eV per atom): -9.206
Space-group type: I4/mmm

```
data_Hf4NiRh3
_chemical_formula_sum 'Hf8 Ni2 Rh6'
_cell_length_a 4.595
_cell_length_b 4.595
_cell_length_c 13.041
_cell_angle_alpha 90.00
_cell_angle_beta 90.00
_cell_angle_gamma 90.00
_symmetry_space_group_name_H-M 'P 1'
_symmetry_Int_Tables_number 1
_symmetry_space_group_name_Hall 'P 1'
loop_
_atom_site_label
_atom_site_type_symbol
_atom_site_fract_x
_atom_site_fract_y
_atom_site_fract_z
Hf1 Hf 0.000 0.500 0.123
Hf2 Hf 0.000 0.500 0.377
Hf3 Hf 0.000 0.500 0.623
Hf4 Hf 0.000 0.500 0.877
Hf5 Hf 0.500 0.000 0.123
Hf6 Hf 0.500 0.000 0.377
Hf7 Hf 0.500 0.000 0.623
Hf8 Hf 0.500 0.000 0.877
Ni1 Ni 0.000 0.000 0.000
Ni2 Ni 0.500 0.500 0.500
Rh1 Rh 0.000 0.000 0.248
Rh2 Rh 0.000 0.000 0.500
Rh3 Rh 0.000 0.000 0.752
Rh4 Rh 0.500 0.500 0.000
Rh5 Rh 0.500 0.500 0.252
Rh6 Rh 0.500 0.500 0.748
```

---

No. 2
This record from Alexandria describes a relaxed CaInSn4 crystal. The functional is GGA-PBE.

Calculated values
Final energy (eV per atom): -3.631
Space-group type: Cmmm

```
data_CaInSn4
_chemical_formula_sum 'Ca2 In2 Sn8'
_cell_length_a 5.047
_cell_length_b 12.545
_cell_length_c 5.245
_cell_angle_alpha 90.00
_cell_angle_beta 90.00
_cell_angle_gamma 90.00
_symmetry_space_group_name_H-M 'P 1'
_symmetry_Int_Tables_number 1
_symmetry_space_group_name_Hall 'P 1'
loop_
_atom_site_label
_atom_site_type_symbol
_atom_site_fract_x
_atom_site_fract_y
_atom_site_fract_z
Ca1 Ca 0.000 0.000 0.000
Ca2 Ca 0.500 0.500 0.000
In1 In 0.000 0.500 0.500
In2 In 0.500 0.000 0.500
Sn1 Sn 0.000 0.170 0.500
Sn2 Sn 0.000 0.321 0.000
Sn3 Sn 0.000 0.679 0.000
Sn4 Sn 0.000 0.830 0.500
Sn5 Sn 0.500 0.179 0.000
Sn6 Sn 0.500 0.330 0.500
Sn7 Sn 0.500 0.670 0.500
Sn8 Sn 0.500 0.821 0.000
```

---

No. 3
This record from Alexandria describes a relaxed CrNiIr crystal. The functional is GGA-PBE.

Calculated values
Final energy (eV per atom): -8.211
Space-group type: Imm2

```
data_CrNiIr
_chemical_formula_sum 'Cr2 Ni2 Ir2'
_cell_length_a 2.640
_cell_length_b 3.628
_cell_length_c 7.773
_cell_angle_alpha 90.00
_cell_angle_beta 90.00
_cell_angle_gamma 90.00
_symmetry_space_group_name_H-M 'P 1'
_symmetry_Int_Tables_number 1
_symmetry_space_group_name_Hall 'P 1'
loop_
_atom_site_label
_atom_site_type_symbol
_atom_site_fract_x
_atom_site_fract_y
_atom_site_fract_z
Cr1 Cr 0.000 0.000 0.000
Cr2 Cr 0.500 0.500 0.500
Ni1 Ni 0.000 0.000 0.335
Ni2 Ni 0.500 0.500 0.835
Ir1 Ir 0.000 0.000 0.664
Ir2 Ir 0.500 0.500 0.164
```